(1)
First-principles (PBE with a Hubbard U) data for a geometry-optimized SmCo2IrO6 structure, as listed in Alexandria.

DOS(E_F) (states/eV/f.u.): 5.4
Symmetry: R3 (146)
Energy (eV/atom): -6.77

a b c (Å): 5.637 5.637 5.637
angles (deg): 55.78 55.78 55.78
Fractional coordinates of all 10 atoms:
Sm 0.000 0.000 0.000
Co 0.209 0.209 0.209
Co 0.734 0.734 0.734
Ir 0.528 0.528 0.528
O 0.122 0.441 0.824
O 0.357 0.943 0.546
O 0.441 0.824 0.122
O 0.546 0.357 0.943
O 0.824 0.122 0.441
O 0.943 0.546 0.357

=====

(2)
First-principles (PBE with a Hubbard U) data for a geometry-optimized Sm2CoIrO6 structure, as listed in Alexandria.

DOS(E_F) (states/eV/f.u.): 6.4
Symmetry: P2_1/c (14)
Energy (eV/atom): -7.47

a b c (Å): 5.404 5.875 9.358
angles (deg): 90.00 124.78 90.00
Fractional coordinates of all 20 atoms:
Sm 0.224 0.078 0.250
Sm 0.224 0.422 0.750
Sm 0.776 0.578 0.250
Sm 0.776 0.922 0.750
Co 0.500 0.000 0.000
Co 0.500 0.500 0.500
Ir 0.000 0.000 0.500
Ir 0.000 0.500 0.000
O 0.121 0.200 0.943
O 0.121 0.300 0.443
O 0.258 0.691 0.946
O 0.258 0.809 0.446
O 0.363 0.037 0.749
O 0.363 0.463 0.249
O 0.637 0.537 0.751
O 0.637 0.963 0.251
O 0.742 0.191 0.554
O 0.742 0.309 0.054
O 0.879 0.700 0.557
O 0.879 0.800 0.057

=====

(3)
First-principles (PBE with a Hubbard U) data for a geometry-optimized Sr4CoIr3O12 structure, as listed in Alexandria.

DOS(E_F) (states/eV/f.u.): 9.9
Symmetry: P-1 (2)
Energy (eV/atom): -6.55

a b c (Å): 5.641 5.654 7.946
angles (deg): 89.92 89.38 89.94
Fractional coordinates of all 20 atoms:
Sr 0.025 0.003 0.261
Sr 0.470 0.491 0.740
Sr 0.530 0.509 0.260
Sr 0.975 0.997 0.739
Co 0.000 0.500 0.500
Ir 0.000 0.500 0.000
Ir 0.500 0.000 0.000
Ir 0.500 0.000 0.500
O 0.006 0.554 0.757
O 0.196 0.198 0.965
O 0.235 0.224 0.532
O 0.274 0.738 0.473
O 0.302 0.697 0.031
O 0.482 0.073 0.251
O 0.518 0.927 0.749
O 0.698 0.303 0.969
O 0.726 0.262 0.527
O 0.765 0.776 0.468
O 0.804 0.802 0.035
O 0.994 0.446 0.243

=====

(4)
First-principles (PBE with a Hubbard U) data for a geometry-optimized SrCo2Ir2O7 structure, as listed in Alexandria.

DOS(E_F) (states/eV/f.u.): 5.4
Symmetry: Imm2 (44)
Energy (eV/atom): -6.40

a b c (Å): 9.462 9.462 9.462
angles (deg): 156.20 34.98 154.74
Fractional coordinates of all 12 atoms:
Sr 0.000 0.000 0.000
Co 0.248 0.512 0.736
Co 0.777 0.512 0.264
Ir 0.399 0.007 0.392
Ir 0.614 0.007 0.608
O 0.139 0.514 0.625
O 0.302 0.026 0.276
O 0.378 0.878 0.500
O 0.420 0.522 0.898
O 0.625 0.522 0.102
O 0.750 0.026 0.724
O 0.889 0.514 0.375

=====

(5)
First-principles (PBE with a Hubbard U) data for a geometry-optimized SrCoIrO6 structure, as listed in Alexandria.

DOS(E_F) (states/eV/f.u.): 5.3
Symmetry: P312 (149)
Energy (eV/atom): -6.28

a b c (Å): 5.102 5.102 5.382
angles (deg): 90.00 90.00 120.00
Fractional coordinates of all 9 atoms:
Sr 0.000 0.000 0.000
Co 0.333 0.667 0.500
Ir 0.667 0.333 0.500
O 0.005 0.383 0.696
O 0.005 0.622 0.304
O 0.378 0.383 0.304
O 0.378 0.995 0.696
O 0.617 0.622 0.696
O 0.617 0.995 0.304

=====

(6)
First-principles (PBE with a Hubbard U) data for a geometry-optimized TaCoIrO6 structure, as listed in Alexandria.

DOS(E_F) (states/eV/f.u.): 2.7
Symmetry: P4_2nm (102)
Energy (eV/atom): -7.71

a b c (Å): 4.633 4.633 8.967
angles (deg): 90.00 90.00 90.00
Fractional coordinates of all 18 atoms:
Ta 0.000 0.000 0.000
Ta 0.500 0.500 0.500
Co 0.000 0.000 0.340
Co 0.500 0.500 0.840
Ir 0.000 0.000 0.679
Ir 0.500 0.500 0.179
O 0.192 0.192 0.505
O 0.195 0.195 0.176
O 0.212 0.212 0.847
O 0.288 0.712 0.347
O 0.305 0.695 0.676
O 0.308 0.692 0.005
O 0.692 0.308 0.005
O 0.695 0.305 0.676
O 0.712 0.288 0.347
O 0.788 0.788 0.847
O 0.805 0.805 0.176
O 0.808 0.808 0.505

=====

Number 1: M_tot 2.0 μB per formula unit. Number 2: M_tot 2.0 μB per formula unit. Number 3: M_tot 7.5 μB per formula unit. Number 4: M_tot 5.8 μB per formula unit. Number 5: M_tot 1.9 μB per formula unit. Number 6: M_tot 1.0 μB per formula unit.